No. 1
Computed, not measured: a geometry-optimized Pr2Pa3Se6 structure at the PBE-GGA level of DFT.

The structure in extended XYZ format:
```
11
Lattice="-2.774 -6.382 -0.976 1.252 -3.497 -5.983 4.719 -5.042 2.547" Properties=species:S:1:pos:R:3 pbc="T T T"
Pr 2.735 -5.917 -2.884
Pr 0.463 -9.005 -1.529
Pa 0.000 0.000 0.000
Pa -0.490 -3.295 -2.355
Pa -1.031 -6.584 -4.604
Se 3.242 -8.826 -2.562
Se 1.527 -8.510 1.207
Se 3.679 -5.525 -0.095
Se 0.419 -2.915 0.364
Se -0.044 -6.095 -1.851
Se -0.481 -9.397 -4.318
```

Values from the calculation:
Its crystal system is monoclinic. The calculation puts the calculated total energy at -75.28 eV/cell. Its formation energy without anion corrections is -16.3 eV/f.u. As for the mass density: 8.05 g/cm³. As for the density of states at the Fermi level: 15.4 states/eV/cell.

No. 2
Computed, not measured: a geometry-optimized ZrTl8Te6 structure at the PBE-GGA level of DFT.

The structure in extended XYZ format:
```
30
Lattice="8.798 0.000 0.000 0.000 9.961 0.000 0.000 0.000 13.462" Properties=species:S:1:pos:R:3 pbc="T T T"
Zr 7.316 0.000 6.175
Zr 1.482 4.981 12.906
Tl 3.931 0.000 0.201
Tl 4.867 4.981 6.932
Tl 7.406 7.654 1.221
Tl 1.391 7.288 7.952
Tl 1.391 2.673 7.952
Tl 7.406 2.307 1.221
Tl 5.356 7.528 10.783
Tl 3.442 7.413 4.052
Tl 3.442 2.548 4.052
Tl 5.356 2.433 10.783
Tl 0.655 7.936 11.193
Tl 8.142 7.006 4.462
Tl 8.142 2.956 4.462
Tl 0.655 2.025 11.193
Tl 4.203 0.000 7.489
Tl 4.594 4.981 0.758
Te 7.221 0.000 12.438
Te 1.577 4.981 5.706
Te 3.127 0.000 10.470
Te 5.671 4.981 3.739
Te 1.250 0.000 5.759
Te 7.547 4.981 12.490
Te 5.871 0.000 3.814
Te 2.927 4.981 10.545
Te 1.913 7.281 0.992
Te 6.885 7.661 7.723
Te 6.885 2.300 7.723
Te 1.913 2.681 0.992
```

Values from the calculation:
Its crystal system is orthorhombic. The calculation puts the calculated total energy at -103.82 eV/cell. Its formation energy without anion corrections is -5.6 eV/f.u. As for the mass density: 7.01 g/cm³.